Density functional theory data (PBE) for DyY2Tm2Lu2Fe2Te2 after structural relaxation.

Computed properties:
Calculated total energy   -63.96 eV/cell
Space-group type   Imm2

Unit cell a=9.262 b=9.262 c=9.262 alpha=155.86 beta=65.34 gamma=120.32
Site moments in Bohr magnetons follow the coordinates.
Atoms (fractional coordinates):
Fe 0.174 0.412 0.762  -0.19
Fe 0.650 0.412 0.238  -0.19
Te 0.744 0.244 0.500  0.00
Te 0.138 0.138 0.000  0.00
Lu 0.787 0.101 0.686  0.06
Lu 0.415 0.101 0.314  0.06
Y 0.389 0.738 0.651  0.07
Y 0.087 0.738 0.349  0.07
Dy 0.478 0.478 0.000  0.25
Tm 0.755 0.892 0.863  0.06
Tm 0.029 0.892 0.137  0.06